# GGA-PBE SrAu2Se, optimized geometry
# E_tot = -3.6120 eV per atom
# formation energy from raw total energies = -0.6818 eV per atom
data_SrAu2Se
_chemical_formula_sum 'Sr1 Au2 Se1'
_cell_length_a 4.8949
_cell_length_b 4.8949
_cell_length_c 5.2404
_cell_angle_alpha 79.77
_cell_angle_beta 79.77
_cell_angle_gamma 63.90
_space_group_name_H-M_alt 'P 1'
_space_group_IT_number 1
loop_
_space_group_symop_operation_xyz
'x,y,z'
loop_
_atom_site_label
_atom_site_fract_x
_atom_site_fract_y
_atom_site_fract_z
Au1 0.9953 0.9953 0.8931
Au2 0.6458 0.6458 0.9088
Se1 0.5928 0.5928 0.4347
Sr1 0.2661 0.2661 0.2634